No. 1
Computed, not measured: PdPtO3 after structural relaxation at the PBE level of DFT.

Cell lengths 3.928, 3.928, 3.928 Å; angles 90.00, 90.00, 90.00 degrees
Last column: magnetic moment on the atom in μB.
Positions (direct):
Pd 0.000 0.000 0.000  0.29
Pt 0.500 0.500 0.500  1.29
O 0.000 0.000 0.500  0.24
O 0.500 0.000 0.000  0.39
O 0.000 0.500 0.000  0.41

Raw formation energy: 702 meV per atom
Magnetization: 2.78 μB per formula unit

No. 2
Computed, not measured: Tc2IrAu after structural relaxation at the PBE level of DFT.

Cell lengths 4.826, 4.826, 4.868 Å; angles 80.88, 80.88, 33.16 degrees
Positions (direct):
Tc 0.256 0.256 0.231
Au 0.500 0.500 0.498
Ir 0.741 0.741 0.771
Tc 0.003 0.003 0.000

Formation enthalpy at 0 K: 0.16 eV per atom
Distance to the lowest polymorph of the same formula: 58.4 meV/atom
Magnetization: 0.00 μB per formula unit

No. 3
Computed, not measured: SrLiTe3 after structural relaxation at the PBE level of DFT.

Cell lengths 5.291, 5.291, 5.291 Å; angles 90.00, 90.00, 90.00 degrees
Positions (direct):
Te 0.000 0.000 0.500
Sr 0.500 0.500 0.500
Te 0.000 0.500 0.000
Te 0.500 0.000 0.000
Li 0.000 0.000 0.000

Raw formation energy: -600 meV per atom
Distance to the lowest polymorph of the same formula: 0.0 meV/atom
Magnetization: 0.00 μB per formula unit

No. 4
Computed, not measured: LaAgP2Ir after structural relaxation at the PBE level of DFT.

Cell lengths 5.288, 5.472, 5.288 Å; angles 90.00, 90.00, 90.00 degrees
Last column: magnetic moment on the atom in μB.
Positions (direct):
Ir 0.500 0.500 0.500  1.51
Ag 0.000 0.500 0.000  -0.02
P 0.000 0.000 0.500  0.04
La 0.000 0.000 0.000  0.03
P 0.500 0.000 0.000  0.03

Formation enthalpy at 0 K: 1.78 eV per atom
Magnetization: 1.68 μB per formula unit

No. 5
Computed, not measured: CaNpPt4 after structural relaxation at the PBE level of DFT.

Cell lengths 5.445, 5.445, 5.445 Å; angles 60.00, 60.00, 60.00 degrees
Last column: magnetic moment on the atom in μB.
Positions (direct):
Pt 0.625 0.625 0.125  -0.13
Np 0.000 0.000 0.000  3.81
Ca 0.250 0.250 0.250  0.04
Pt 0.625 0.625 0.625  -0.13
Pt 0.625 0.125 0.625  -0.13
Pt 0.125 0.625 0.625  -0.13

Formation enthalpy at 0 K: -0.75 eV per atom
Magnetization: 3.64 μB per formula unit

No. 6
Computed, not measured: Mg4Cd5Rh after structural relaxation at the PBE level of DFT.

Cell lengths 3.150, 9.614, 14.891 Å; angles 110.36, 89.99, 90.00 degrees
Positions (direct):
Mg 0.753 0.762 0.920
Mg 0.247 0.738 0.580
Rh 0.253 0.000 0.000
Rh 0.747 0.500 0.500
Mg 0.751 0.923 0.300
Mg 0.249 0.577 0.200
Mg 0.247 0.261 0.420
Cd 0.251 0.106 0.203
Cd 0.251 0.894 0.797
Cd 0.256 0.793 0.099
Cd 0.749 0.606 0.703
Cd 0.743 0.293 0.599
Cd 0.749 0.394 0.297
Cd 0.756 0.500 0.000
Cd 0.257 0.207 0.901
Cd 0.744 0.707 0.401
Cd 0.244 0.000 0.500
Mg 0.751 0.077 0.700
Mg 0.249 0.423 0.800
Mg 0.753 0.239 0.080

Formation enthalpy at 0 K: -0.10 eV per atom
Magnetization: 0.00 μB per formula unit